Record 1
Below is a geometry-optimized Co2OsPb structure, with properties calculated at the PBE-GGA level.

Results
**Volume**: 14.5 Å³/atom
**Energy of formation from the pure elements**: 0.6805 eV/atom
**Crystal system**: tetragonal

Lattice parameters (Å, degrees): 4.038 4.038 7.126 90.00 90.00 90.00
Space group I4/mmm (No. 139)
Asymmetric unit:
Co  0.000  0.500  0.250
Os  0.000  0.000  0.000
Pb  0.000  0.000  0.500

=====

Record 2
Below is a geometry-optimized CoOsPb2 structure, with properties calculated at the PBE-GGA level.

Results
**Energy above the most stable polymorph in this dataset**: 0.2221 eV/atom
**Volume**: 21.6 Å³/atom
**Energy of formation from the pure elements**: 0.7058 eV/atom
**Crystal system**: trigonal

Lattice parameters (Å, degrees): 3.0996 3.0996 31.1802 90.00 90.00 120.00
Space group R3m (No. 160, hexagonal axes)
Asymmetric unit:
Co  0.0000  0.0000  0.0000
Os  0.0000  0.0000  0.7210
Pb  0.0000  0.0000  0.2578
Pb  0.0000  0.0000  0.4675

=====

Record 3
Below is a geometry-optimized CoOs3Pb structure, with properties calculated at the PBE-GGA level.

Results
**Energy above the most stable polymorph in this dataset**: 0.0000 eV/atom
**Volume**: 18.3 Å³/atom
**Energy of formation from the pure elements**: 1.7456 eV/atom
**Crystal system**: cubic

Lattice parameters (Å, degrees): 4.504 4.504 4.504 90.00 90.00 90.00
Space group Pm-3m (No. 221)
Asymmetric unit:
Co  0.000  0.000  0.000
Os  0.000  0.000  0.500
Pb  0.500  0.500  0.500